Below is a geometry-optimized Y9Ho2Tm structure, with properties calculated at the GGA-PBE level.

It has space group P4/mmm (No. 123), with a = 5.0323 Å, b = 5.0323 Å, c = 15.0916 Å, α = 90.00°, β = 90.00° and γ = 90.00°. The distinct sites, in fractional coordinates, are Y at (0.0000, 0.0000, 0.0000), Y at (0.0000, 0.0000, 0.3330), Y at (0.0000, 0.5000, 0.1662), Y at (0.0000, 0.5000, 0.5000), Ho at (0.5000, 0.5000, 0.3331) and Tm at (0.5000, 0.5000, 0.0000).

The total magnetic moment is 0.00 μB per cell. As for the density of states at the Fermi level: 17.816 states/eV/cell. As for the formation energy from the elements: 31 kJ/mol of formula units.

***

Below is a geometry-optimized Zr2TeRh structure, with properties calculated at the GGA-PBE level.

It has space group P2/m (No. 10), with a = 3.5405 Å, b = 3.5780 Å, c = 6.5512 Å, α = 90.00°, β = 96.52° and γ = 90.00°. The distinct sites, in fractional coordinates, are Zr at (0.0228, 0.0000, 0.2715), Te at (0.5000, 0.5000, 0.0000) and Rh at (0.5000, 0.5000, 0.5000).

The total magnetic moment is 0.00 μB per cell. As for the density of states at the Fermi level: 3.382 states/eV/cell. The calculation puts the raw formation energy at -0.556 eV/atom. Its energy relative to the lowest polymorph listed for this composition is 86 meV per atom.

***

Below is a geometry-optimized TlAsPb2 structure, with properties calculated at the GGA-PBE level.

It has space group Fm-3m (No. 225), with a = 7.6796 Å, b = 7.6796 Å, c = 7.6796 Å, α = 90.00°, β = 90.00° and γ = 90.00°. The distinct sites, in fractional coordinates, are Tl at (0.0000, 0.0000, 0.0000), As at (0.0000, 0.0000, 0.5000) and Pb at (0.2500, 0.2500, 0.2500).

The total magnetic moment is 0.00 μB per cell. As for the density of states at the Fermi level: 9.471 states/eV/cell. As for the formation energy from the elements: 51 kJ/mol of formula units. Its energy relative to the lowest polymorph listed for this composition is 108 meV per atom.

***

Below is a geometry-optimized Ac2PrPt structure, with properties calculated at the GGA-PBE level.

It has space group Cmcm (No. 63), with a = 4.0798 Å, b = 13.0167 Å, c = 10.5981 Å, α = 90.00°, β = 90.00° and γ = 90.00°. The distinct sites, in fractional coordinates, are Ac at (0.0000, 0.1374, 0.0669), Pr at (0.0000, 0.4081, 0.2500) and Pt at (0.0000, 0.2641, 0.7500).

The total magnetic moment is 0.00 μB per cell. As for the density of states at the Fermi level: 22.645 states/eV/cell. As for the formation energy from the elements: -219 kJ/mol of formula units. Its energy relative to the lowest polymorph listed for this composition is 34 meV per atom.

***

Below is a geometry-optimized Ca3Zn2Hg4 structure, with properties calculated at the GGA-PBE level.

It has space group C2/m (No. 12), with a = 11.1642 Å, b = 4.8068 Å, c = 9.1568 Å, α = 90.00°, β = 115.68° and γ = 90.00°. The distinct sites, in fractional coordinates, are Ca at (0.0000, 0.0000, 0.0000), Ca at (0.1599, 0.5000, 0.6711), Zn at (0.1207, 0.5000, 0.2919), Hg at (0.0694, 0.0000, 0.3924) and Hg at (0.2151, 0.5000, 0.0650).

The total magnetic moment is 0.00 μB per cell. As for the density of states at the Fermi level: 10.080 states/eV/cell. As for the formation energy from the elements: -360 kJ/mol of formula units.

***

Below is a geometry-optimized DyFeCu structure, with properties calculated at the GGA-PBE level.

It has space group Imma (No. 74), with a = 5.0710 Å, b = 5.1179 Å, c = 7.5233 Å, α = 90.00°, β = 90.00° and γ = 90.00°. The distinct sites, in fractional coordinates, are Dy at (0.0000, 0.2500, 0.1219), Fe at (0.2500, 0.2500, 0.7500) and Cu at (0.0000, 0.0000, 0.5000).

The total magnetic moment is 5.06 μB per cell. As for the density of states at the Fermi level: 14.443 states/eV/cell. As for the formation energy from the elements: -17 kJ/mol of formula units.

***

Below is a geometry-optimized NbTlPb2 structure, with properties calculated at the GGA-PBE level.

It has space group R-3m (No. 166, hexagonal axes), with a = 3.2381 Å, b = 3.2381 Å, c = 36.6798 Å, α = 90.00°, β = 90.00° and γ = 120.00°. The distinct sites, in fractional coordinates, are Nb at (0.0000, 0.0000, 0.0000), Tl at (0.0000, 0.0000, 0.5000) and Pb at (0.0000, 0.0000, 0.0805).

The total magnetic moment is 0.00 μB per cell. As for the density of states at the Fermi level: 11.873 states/eV/cell. As for the formation energy from the elements: 212 kJ/mol of formula units. Its energy relative to the lowest polymorph listed for this composition is 0 meV per atom.

***

Below is a geometry-optimized PrMgAl2 structure, with properties calculated at the GGA-PBE level.

It has space group R-3m (No. 166, hexagonal axes), with a = 4.5925 Å, b = 4.5925 Å, c = 15.9494 Å, α = 90.00°, β = 90.00° and γ = 120.00°. The distinct sites, in fractional coordinates, are Pr at (0.0000, 0.0000, 0.0000), Mg at (0.0000, 0.0000, 0.5000) and Al at (0.0000, 0.0000, 0.2136).

The total magnetic moment is 0.00 μB per cell. As for the density of states at the Fermi level: 7.571 states/eV/cell. As for the formation energy from the elements: -81 kJ/mol of formula units. Its energy relative to the lowest polymorph listed for this composition is 74 meV per atom.

***

Result set for VASP energy: -5.957 -7.453 -3.476 -5.327 -1.499 -5.779 -4.415 -3.674 eV per atom, one per record in the order listed.